(1)
A relaxed La2MnTc crystal. Source: Alexandria via LeMat-Bulk, functional GGA-PBE.

Geometry as CIF:
```
data_La2MnTc
_chemical_formula_sum 'La8 Mn4 Tc4'
_space_group_name_H-M_alt 'F -4 3 m'
_space_group_IT_number 216
_space_group_name_Hall 'F -4 2 3'
_cell_length_a 7.0608
_cell_length_b 7.0608
_cell_length_c 7.0608
_cell_angle_alpha 90.00
_cell_angle_beta 90.00
_cell_angle_gamma 90.00
loop_
_atom_site_label
_atom_site_type_symbol
_atom_site_fract_x
_atom_site_fract_y
_atom_site_fract_z
La1 La 0.0000 0.0000 0.0000
La2 La 0.2500 0.2500 0.2500
Mn1 Mn 0.0000 0.0000 0.5000
Tc1 Tc 0.2500 0.2500 0.7500
```

Computed properties:
- Calculated formation energy: 1.62 eV/f.u.
- Relative energy among the computed polymorphs: 0.65 eV per formula unit
- E_tot: -111.088 eV/cell


(2)
A relaxed La2MnTc crystal. Source: Alexandria via LeMat-Bulk, functional GGA-PBE.

Geometry as CIF:
```
data_La2MnTc
_chemical_formula_sum 'La8 Mn4 Tc4'
_space_group_name_H-M_alt 'F m -3 m'
_space_group_IT_number 225
_space_group_name_Hall '-F 4 2 3'
_cell_length_a 7.0584
_cell_length_b 7.0584
_cell_length_c 7.0584
_cell_angle_alpha 90.00
_cell_angle_beta 90.00
_cell_angle_gamma 90.00
loop_
_atom_site_label
_atom_site_type_symbol
_atom_site_fract_x
_atom_site_fract_y
_atom_site_fract_z
La1 La 0.2500 0.2500 0.2500
Mn1 Mn 0.0000 0.0000 0.0000
Tc1 Tc 0.0000 0.0000 0.5000
```

Computed properties:
- Calculated formation energy: 2.36 eV/f.u.
- Relative energy among the computed polymorphs: 1.39 eV per formula unit
- E_tot: -108.140 eV/cell


(3)
A relaxed LaMnTc3 crystal. Source: Alexandria via LeMat-Bulk, functional GGA-PBE.

Geometry as CIF:
```
data_LaMnTc3
_chemical_formula_sum 'La1 Mn1 Tc3'
_space_group_name_H-M_alt 'P m -3 m'
_space_group_IT_number 221
_space_group_name_Hall '-P 4 2 3'
_cell_length_a 4.5536
_cell_length_b 4.5536
_cell_length_c 4.5536
_cell_angle_alpha 90.00
_cell_angle_beta 90.00
_cell_angle_gamma 90.00
loop_
_atom_site_label
_atom_site_type_symbol
_atom_site_fract_x
_atom_site_fract_y
_atom_site_fract_z
La1 La 0.0000 0.0000 0.0000
Mn1 Mn 0.5000 0.5000 0.5000
Tc1 Tc 0.0000 0.5000 0.5000
```

Computed properties:
- Calculated formation energy: 3.07 eV/f.u.
- E_tot: -42.130 eV/cell


(4)
A relaxed LaMn3Tc crystal. Source: Alexandria via LeMat-Bulk, functional GGA-PBE.

Geometry as CIF:
```
data_LaMn3Tc
_chemical_formula_sum 'La1 Mn3 Tc1'
_space_group_name_H-M_alt 'P m -3 m'
_space_group_IT_number 221
_space_group_name_Hall '-P 4 2 3'
_cell_length_a 4.4948
_cell_length_b 4.4948
_cell_length_c 4.4948
_cell_angle_alpha 90.00
_cell_angle_beta 90.00
_cell_angle_gamma 90.00
loop_
_atom_site_label
_atom_site_type_symbol
_atom_site_fract_x
_atom_site_fract_y
_atom_site_fract_z
La1 La 0.0000 0.0000 0.0000
Mn1 Mn 0.0000 0.0000 0.5000
Tc1 Tc 0.5000 0.5000 0.5000
```

Computed properties:
- Calculated formation energy: 10.05 eV/f.u.
- Relative energy among the computed polymorphs: 7.01 eV per formula unit
- E_tot: -32.749 eV/cell


(5)
A relaxed La2MnTc2 crystal. Source: Alexandria via LeMat-Bulk, functional GGA-PBE.

Geometry as CIF:
```
data_La2MnTc2
_chemical_formula_sum 'La4 Mn2 Tc4'
_space_group_name_H-M_alt 'I 4/m m m'
_space_group_IT_number 139
_space_group_name_Hall '-I 4 2'
_cell_length_a 3.5410
_cell_length_b 3.5410
_cell_length_c 18.9098
_cell_angle_alpha 90.00
_cell_angle_beta 90.00
_cell_angle_gamma 90.00
loop_
_atom_site_label
_atom_site_type_symbol
_atom_site_fract_x
_atom_site_fract_y
_atom_site_fract_z
La1 La 0.0000 0.0000 0.1070
Mn1 Mn 0.0000 0.0000 0.5000
Tc1 Tc 0.0000 0.5000 0.2500
```

Computed properties:
- Calculated formation energy: 1.98 eV/f.u.
- Relative energy among the computed polymorphs: 0.85 eV per formula unit
- E_tot: -75.552 eV/cell


(6)
A relaxed La2MnTc crystal. Source: Alexandria via LeMat-Bulk, functional GGA-PBE.

Geometry as CIF:
```
data_La2MnTc
_chemical_formula_sum 'La2 Mn1 Tc1'
_space_group_name_H-M_alt 'P 4 m m'
_space_group_IT_number 99
_cell_length_a 3.2307
_cell_length_b 3.2307
_cell_length_c 8.9830
_cell_angle_alpha 90.00
_cell_angle_beta 90.00
_cell_angle_gamma 90.00
loop_
_space_group_symop_operation_xyz
'x,y,z'
'-y,x,z'
'-x,-y,z'
'y,-x,z'
'-x,y,z'
'y,x,z'
'x,-y,z'
'-y,-x,z'
loop_
_atom_site_label
_atom_site_type_symbol
_atom_site_fract_x
_atom_site_fract_y
_atom_site_fract_z
La1 La 0.0000 0.0000 0.0000
La2 La 0.5000 0.5000 0.3876
Mn1 Mn 0.0000 0.0000 0.6332
Tc1 Tc 0.5000 0.5000 0.7568
```

Computed properties:
- Calculated formation energy: 0.97 eV/f.u.
- Relative energy among the computed polymorphs: 0.00 eV per formula unit
- E_tot: -28.425 eV/cell


(7)
A relaxed LaMn2TlTc crystal. Source: Alexandria via LeMat-Bulk, functional GGA-PBE.

Geometry as CIF:
```
data_LaMn2TlTc
_chemical_formula_sum 'La1 Mn2 Tl1 Tc1'
_space_group_name_H-M_alt 'P 4/m m m'
_space_group_IT_number 123
_space_group_name_Hall '-P 4 2'
_cell_length_a 4.9867
_cell_length_b 4.9867
_cell_length_c 5.1390
_cell_angle_alpha 90.00
_cell_angle_beta 90.00
_cell_angle_gamma 90.00
loop_
_atom_site_label
_atom_site_type_symbol
_atom_site_fract_x
_atom_site_fract_y
_atom_site_fract_z
La1 La 0.0000 0.0000 0.0000
Mn1 Mn 0.0000 0.5000 0.5000
Tl1 Tl 0.5000 0.5000 0.0000
Tc1 Tc 0.0000 0.0000 0.5000
```

Computed properties:
- Calculated formation energy: 3.07 eV/f.u.
- E_tot: -32.929 eV/cell


(8)
A relaxed LaMnV2Tc crystal. Source: Alexandria via LeMat-Bulk, functional GGA-PBE.

Geometry as CIF:
```
data_LaMnV2Tc
_chemical_formula_sum 'La1 Mn1 V2 Tc1'
_space_group_name_H-M_alt 'P 4/m m m'
_space_group_IT_number 123
_space_group_name_Hall '-P 4 2'
_cell_length_a 4.3036
_cell_length_b 4.3036
_cell_length_c 5.0857
_cell_angle_alpha 90.00
_cell_angle_beta 90.00
_cell_angle_gamma 90.00
loop_
_atom_site_label
_atom_site_type_symbol
_atom_site_fract_x
_atom_site_fract_y
_atom_site_fract_z
La1 La 0.0000 0.0000 0.0000
Mn1 Mn 0.0000 0.0000 0.5000
V1 V 0.0000 0.5000 0.5000
Tc1 Tc 0.5000 0.5000 0.0000
```

Computed properties:
- Calculated formation energy: 5.31 eV/f.u.
- E_tot: -37.393 eV/cell


(9)
A relaxed LaMn2Te crystal. Source: Alexandria via LeMat-Bulk, functional GGA-PBE.

Geometry as CIF:
```
data_LaMn2Te
_chemical_formula_sum 'La2 Mn4 Te2'
_space_group_name_H-M_alt 'C 1 2/m 1'
_space_group_IT_number 12
_cell_length_a 7.8256
_cell_length_b 4.5142
_cell_length_c 5.5282
_cell_angle_alpha 90.00
_cell_angle_beta 118.29
_cell_angle_gamma 90.00
loop_
_space_group_symop_operation_xyz
'x,y,z'
'-x,-y,-z'
'-x,y,-z'
'x,-y,z'
'x+1/2,y+1/2,z'
'-x+1/2,-y+1/2,-z'
'-x+1/2,y+1/2,-z'
'x+1/2,-y+1/2,z'
loop_
_atom_site_label
_atom_site_type_symbol
_atom_site_fract_x
_atom_site_fract_y
_atom_site_fract_z
La1 La 0.0000 0.0000 0.0000
Mn1 Mn 0.1911 0.0000 0.5731
Te1 Te 0.0000 0.5000 0.5000
```

Computed properties:
- Uncorrected formation energy: -21 meV per atom
- E_tot: -52.988 eV/cell


(10)
A relaxed La3Mn5Te12 crystal. Source: Alexandria via LeMat-Bulk, functional GGA-PBE.

Geometry as CIF:
```
data_La3Mn5Te12
_chemical_formula_sum 'La24 Mn40 Te96'
_space_group_name_H-M_alt 'I a -3 d'
_space_group_IT_number 230
_space_group_name_Hall '-I 4bd 2c 3'
_cell_length_a 17.2350
_cell_length_b 17.2350
_cell_length_c 17.2350
_cell_angle_alpha 90.00
_cell_angle_beta 90.00
_cell_angle_gamma 90.00
loop_
_atom_site_label
_atom_site_type_symbol
_atom_site_fract_x
_atom_site_fract_y
_atom_site_fract_z
La1 La 0.0000 0.2500 0.1250
Mn1 Mn 0.0000 0.0000 0.0000
Mn2 Mn 0.0000 0.2500 0.3750
Te1 Te 0.0285 0.0581 0.6468
```

Computed properties:
- Uncorrected formation energy: -631 meV per atom
- E_tot: -887.549 eV/cell


(11)
A relaxed LaMn2Te crystal. Source: Alexandria via LeMat-Bulk, functional GGA-PBE.

Geometry as CIF:
```
data_LaMn2Te
_chemical_formula_sum 'La1 Mn2 Te1'
_space_group_name_H-M_alt 'P 4/m m m'
_space_group_IT_number 123
_space_group_name_Hall '-P 4 2'
_cell_length_a 3.7605
_cell_length_b 3.7605
_cell_length_c 6.4677
_cell_angle_alpha 90.00
_cell_angle_beta 90.00
_cell_angle_gamma 90.00
loop_
_atom_site_label
_atom_site_type_symbol
_atom_site_fract_x
_atom_site_fract_y
_atom_site_fract_z
La1 La 0.0000 0.0000 0.0000
Mn1 Mn 0.5000 0.5000 0.2881
Te1 Te 0.0000 0.0000 0.5000
```

Computed properties:
- Uncorrected formation energy: 108 meV per atom
- E_tot: -25.976 eV/cell


(12)
A relaxed LaMn2Te crystal. Source: Alexandria via LeMat-Bulk, functional GGA-PBE.

Geometry as CIF:
```
data_LaMn2Te
_chemical_formula_sum 'La4 Mn8 Te4'
_space_group_name_H-M_alt 'F -4 3 m'
_space_group_IT_number 216
_space_group_name_Hall 'F -4 2 3'
_cell_length_a 7.2240
_cell_length_b 7.2240
_cell_length_c 7.2240
_cell_angle_alpha 90.00
_cell_angle_beta 90.00
_cell_angle_gamma 90.00
loop_
_atom_site_label
_atom_site_type_symbol
_atom_site_fract_x
_atom_site_fract_y
_atom_site_fract_z
La1 La 0.0000 0.0000 0.0000
Mn1 Mn 0.0000 0.0000 0.5000
Mn2 Mn 0.2500 0.2500 0.2500
Te1 Te 0.2500 0.2500 0.7500
```

Computed properties:
- Uncorrected formation energy: 193 meV per atom
- E_tot: -102.547 eV/cell


| no. | DOS at the Fermi energy (states/eV/f.u.) |
| --- | --- |
| 1 | 4.017 |
| 2 | 15.190 |
| 3 | 6.302 |
| 4 | 8.779 |
| 5 | 4.721 |
| 6 | 5.803 |
| 7 | 4.549 |
| 8 | 7.084 |
| 9 | 3.054 |
| 10 | 6.381 |
| 11 | 3.860 |
| 12 | 5.550 |